Compound: TlCoAu4
Source: Alexandria via LeMat-Bulk
Functional: GGA-PBEsol
Structure: optimized geometry

Results
Space group: F-43m, No. 216
Energy of formation (eV/atom): 0.4192
Calculated density (g/cm³): 15.5
Uncorrected energy (eV/atom): -3.92

Cell lengths 5.416, 5.416, 5.416 Å; angles 60.00, 60.00, 60.00 degrees
Each line ends with the local moment (μB).
Fractional coordinates of all 6 atoms:
Au: 0.375 0.375 0.375  -0.02
Au: 0.874 0.375 0.375  -0.02
Co: 0.750 0.750 0.750  1.90
Tl: 0.000 0.000 0.000  -0.02
Au: 0.375 0.874 0.375  -0.02
Au: 0.375 0.375 0.874  -0.02

Compound: Y4CoAu
Source: Alexandria via LeMat-Bulk
Functional: GGA-PBEsol
Structure: optimized geometry

Results
Space group: F-43m, No. 216
Energy of formation (eV/atom): 0.7167
Calculated density (g/cm³): 7.0
Uncorrected energy (eV/atom): -5.77

Cell lengths 5.897, 5.897, 5.897 Å; angles 60.00, 60.00, 60.00 degrees
Each line ends with the local moment (μB).
Fractional coordinates of all 6 atoms:
Au: 0.750 0.750 0.750  0.00
Co: 0.000 0.000 0.000  1.77
Y: 0.375 0.875 0.375  0.06
Y: 0.375 0.375 0.375  0.06
Y: 0.875 0.375 0.375  0.06
Y: 0.375 0.375 0.875  0.06

Compound: Zn2CoAu
Source: Alexandria via LeMat-Bulk
Functional: GGA-PBEsol
Structure: optimized geometry

Results
Space group: Pmmm, No. 47
Energy of formation (eV/atom): -0.1066
Calculated density (g/cm³): 12.1
Uncorrected energy (eV/atom): -3.81

Cell lengths 2.886, 3.220, 5.688 Å; angles 90.00, 90.00, 90.00 degrees
Each line ends with the local moment (μB).
Fractional coordinates of all 4 atoms:
Zn: 0.000 0.000 0.720  0.00
Au: 0.500 0.500 0.000  0.08
Co: 0.500 0.500 0.500  0.00
Zn: 0.000 0.000 0.280  0.00

Compound: ZnCoAu
Source: Alexandria via LeMat-Bulk
Functional: GGA-PBEsol
Structure: optimized geometry

Results
Space group: F-43m, No. 216
Energy of formation (eV/atom): 0.4129
Calculated density (g/cm³): 10.7
Uncorrected energy (eV/atom): -4.00

Cell lengths 4.125, 4.125, 4.125 Å; angles 60.00, 60.00, 60.00 degrees
Each line ends with the local moment (μB).
Fractional coordinates of all 3 atoms:
Co: 0.000 0.000 0.000  1.68
Zn: 0.500 0.500 0.500  -0.03
Au: 0.250 0.250 0.250  0.05

Compound: ZrCoAu2
Source: Alexandria via LeMat-Bulk
Functional: GGA-PBEsol
Structure: optimized geometry

Results
Space group: Pmmm, No. 47
Energy of formation (eV/atom): -0.1860
Calculated density (g/cm³): 13.8
Uncorrected energy (eV/atom): -6.35

Cell lengths 2.937, 3.713, 5.983 Å; angles 90.00, 90.00, 90.00 degrees
Each line ends with the local moment (μB).
Fractional coordinates of all 4 atoms:
Au: 0.000 0.000 0.775  -0.02
Au: 0.000 0.000 0.225  -0.02
Co: 0.500 0.500 0.000  1.45
Zr: 0.500 0.500 0.500  -0.08

Compound: ZrCo3Au
Source: Alexandria via LeMat-Bulk
Functional: GGA-PBEsol
Structure: optimized geometry

Results
Space group: Pm-3m, No. 221
Energy of formation (eV/atom): 1.4464
Calculated density (g/cm³): 9.2
Uncorrected energy (eV/atom): -5.80

Cell lengths 4.378, 4.378, 4.378 Å; angles 90.00, 90.00, 90.00 degrees
Each line ends with the local moment (μB).
Fractional coordinates of all 5 atoms:
Au: 0.500 0.500 0.500  0.01
Co: 0.500 0.000 0.000  0.73
Co: 0.000 0.500 0.000  0.73
Zr: 0.000 0.000 0.000  -0.18
Co: 0.000 0.000 0.500  0.73

Compound: ZrCo4Au
Source: Alexandria via LeMat-Bulk
Functional: GGA-PBEsol
Structure: optimized geometry

Results
Space group: F-43m, No. 216
Energy of formation (eV/atom): -0.2460
Calculated density (g/cm³): 11.3
Uncorrected energy (eV/atom): -7.57

Cell lengths 4.775, 4.775, 4.775 Å; angles 60.00, 60.00, 60.00 degrees
Each line ends with the local moment (μB).
Fractional coordinates of all 6 atoms:
Co: 0.374 0.374 0.877  1.27
Au: 0.000 0.000 0.000  1.27
Zr: 0.750 0.750 0.750  -0.28
Co: 0.374 0.374 0.374  1.27
Co: 0.374 0.877 0.374  0.00
Co: 0.877 0.374 0.374  1.27

Compound: Zr2Co2Au
Source: Alexandria via LeMat-Bulk
Functional: GGA-PBEsol
Structure: optimized geometry

Results
Space group: P4/mbm, No. 127
Energy of formation (eV/atom): -0.4560
Calculated density (g/cm³): 10.6
Uncorrected energy (eV/atom): -7.97

Cell lengths 3.288, 6.876, 6.876 Å; angles 90.00, 90.00, 90.00 degrees
Fractional coordinates of all 10 atoms:
Zr: 0.500 0.830 0.330
Zr: 0.500 0.170 0.670
Co: 0.000 0.371 0.871
Au: 0.000 0.000 0.000
Au: 0.000 0.500 0.500
Zr: 0.500 0.330 0.170
Zr: 0.500 0.670 0.830
Co: 0.000 0.629 0.129
Co: 0.000 0.129 0.371
Co: 0.000 0.871 0.629